Compound: Cs2RbHgPt
Source: Alexandria via LeMat-Bulk
Functional: PBE
Structure: relaxed

Unit cell a=6.6766 b=6.6766 c=6.4903 alpha=90.00 beta=90.00 gamma=90.00
Last column: nearest neighbours and their distance in Å.
Sites, in units of the cell vectors:
1 Hg 0.5000 0.5000 0.5000  8 Cs 4.66, 4 Rb 4.72
2 Cs 0.0000 0.5000 0.0000  2 Pt 3.34
3 Pt 0.0000 0.0000 0.0000  2 Rb 3.25, 4 Cs 3.34
4 Cs 0.5000 0.0000 0.0000  2 Pt 3.34
5 Rb 0.0000 0.0000 0.5000  2 Pt 3.25

Calculated values
**Total moment**: 0.1532 μB per atom
**Energy relative to the elements**: 0.2 kJ per mole of atoms
**Electronic total energy**: -1.8013 eV/atom
**DOS at the Fermi energy**: 4.844 states/eV/f.u.

Compound: Cs3RbHg9Pt2
Source: Alexandria via LeMat-Bulk
Functional: PBE
Structure: relaxed

Unit cell a=8.9094 b=8.9094 c=9.3974 alpha=90.00 beta=90.00 gamma=120.00
Last column: nearest neighbours and their distance in Å.
Sites, in units of the cell vectors:
1 Hg 0.0000 0.5000 0.0000  2 Pt 2.72
2 Cs 0.6667 0.3333 0.3243  1 Pt 3.92, 6 Hg 3.99-4.25
3 Cs 0.3333 0.6667 0.6757  1 Pt 3.92, 6 Hg 3.99-4.25
4 Hg 0.1947 0.8053 0.2854  1 Pt 2.80
5 Hg 0.8053 0.1947 0.7146  1 Pt 2.80
6 Hg 0.3894 0.1947 0.7146  1 Pt 2.80
7 Hg 0.1947 0.3894 0.2854  1 Pt 2.80
8 Hg 0.6106 0.8053 0.2854  1 Pt 2.80
9 Pt 0.6667 0.3333 0.9072  6 Hg 2.72-2.80
10 Rb 0.0000 0.0000 0.5000  6 Hg 3.62
11 Hg 0.5000 0.0000 0.0000  2 Pt 2.72
12 Hg 0.5000 0.5000 0.0000  2 Pt 2.72
13 Cs 0.0000 0.0000 0.0000  12 Hg 4.03-4.45
14 Pt 0.3333 0.6667 0.0928  6 Hg 2.72-2.80
15 Hg 0.8053 0.6106 0.7146  1 Pt 2.80

Calculated values
**Total moment**: 0.0000 μB per atom
**Energy relative to the elements**: -19.9 kJ per mole of atoms
**Electronic total energy**: -1.4279 eV/atom
**DOS at the Fermi energy**: 6.299 states/eV/f.u.

Compound: Cs2HgPtS
Source: Alexandria via LeMat-Bulk
Functional: PBE
Structure: relaxed

Unit cell a=6.8637 b=6.8637 c=4.4334 alpha=90.00 beta=90.00 gamma=90.00
Last column: nearest neighbours and their distance in Å.
Sites, in units of the cell vectors:
1 Hg 0.5000 0.5000 0.5000  8 Cs 4.09, 2 Hg 4.43
2 Pt 0.0000 0.0000 0.5000  2 S 2.22
3 Cs 0.5000 0.0000 0.0000  2 S 3.43
4 S 0.0000 0.0000 0.0000  2 Pt 2.22
5 Cs 0.0000 0.5000 0.0000  2 S 3.43

Calculated values
**Total moment**: 0.0000 μB per atom
**Electronic total energy**: -2.8884 eV/atom
**E_form (uncorrected)**: -0.45 eV/atom
**DOS at the Fermi energy**: 2.154 states/eV/f.u.

Compound: Cs4Hg2Sb2Pt
Source: Alexandria via LeMat-Bulk
Functional: PBE
Structure: relaxed

Unit cell a=6.5495 b=8.4188 c=8.4188 alpha=70.31 beta=82.06 gamma=82.06
Last column: nearest neighbours and their distance in Å.
Sites, in units of the cell vectors:
1 Hg 0.1885 0.6579 0.6579  1 Sb 3.41
2 Cs 0.2578 0.1309 0.6409  1 Pt 3.39
3 Pt 0.5000 0.0000 0.0000  2 Sb 2.56
4 Sb 0.7696 0.8421 0.8421  1 Pt 2.56
5 Sb 0.2304 0.1579 0.1579  1 Pt 2.56
6 Hg 0.8115 0.3421 0.3421  1 Sb 3.41
7 Cs 0.2578 0.6409 0.1309  1 Pt 3.39
8 Cs 0.7422 0.3591 0.8691  1 Pt 3.39
9 Cs 0.7422 0.8691 0.3591  1 Pt 3.39

Calculated values
**Total moment**: 0.1870 μB per atom
**Electronic total energy**: -2.3248 eV/atom
**E_form (uncorrected)**: -0.29 eV/atom
**DOS at the Fermi energy**: 4.933 states/eV/f.u.

Compound: Cs2SiHgPt
Source: Alexandria via LeMat-Bulk
Functional: PBE
Structure: relaxed

Unit cell a=6.9261 b=6.9261 c=4.5789 alpha=90.00 beta=90.00 gamma=90.00
Last column: nearest neighbours and their distance in Å.
Sites, in units of the cell vectors:
1 Cs 0.0000 0.5000 0.0000  2 Pt 3.46
2 Si 0.0000 0.0000 0.5000  2 Pt 2.29
3 Pt 0.0000 0.0000 0.0000  2 Si 2.29
4 Hg 0.5000 0.5000 0.5000  8 Cs 4.15, 2 Hg 4.58
5 Cs 0.5000 0.0000 0.0000  2 Pt 3.46

Calculated values
**Total moment**: 0.0000 μB per atom
**Electronic total energy**: -2.8618 eV/atom
**E_form (uncorrected)**: -0.17 eV/atom
**DOS at the Fermi energy**: 3.013 states/eV/f.u.

Compound: CsSrHg2Pt
Source: Alexandria via LeMat-Bulk
Functional: PBE
Structure: relaxed

Unit cell a=5.5518 b=5.5518 c=5.6476 alpha=90.00 beta=90.00 gamma=90.00
Last column: nearest neighbours and their distance in Å.
Sites, in units of the cell vectors:
1 Pt 0.0000 0.0000 0.0000  4 Hg 2.78, 2 Sr 2.82
2 Cs 0.5000 0.5000 0.5000  4 Sr 3.93, 8 Hg 3.96
3 Hg 0.5000 0.0000 0.0000  2 Pt 2.78
4 Sr 0.0000 0.0000 0.5000  2 Pt 2.82
5 Hg 0.0000 0.5000 0.0000  2 Pt 2.78

Calculated values
**Total moment**: 0.0000 μB per atom
**Energy relative to the elements**: -29.9 kJ per mole of atoms
**Electronic total energy**: -2.1460 eV/atom
**DOS at the Fermi energy**: 2.427 states/eV/f.u.

Compound: CsSr2HgPt
Source: Alexandria via LeMat-Bulk
Functional: PBE
Structure: relaxed

Unit cell a=5.9902 b=5.9902 c=5.5790 alpha=90.00 beta=90.00 gamma=90.00
Last column: nearest neighbours and their distance in Å.
Sites, in units of the cell vectors:
1 Hg 0.0000 0.0000 0.5000  2 Pt 2.79
2 Pt 0.0000 0.0000 0.0000  2 Hg 2.79, 4 Sr 3.00
3 Sr 0.5000 0.0000 0.0000  2 Pt 3.00
4 Sr 0.0000 0.5000 0.0000  2 Pt 3.00
5 Cs 0.5000 0.5000 0.5000  8 Sr 4.09, 4 Hg 4.24

Calculated values
**Total moment**: 0.0319 μB per atom
**Energy relative to the elements**: -28.8 kJ per mole of atoms
**Electronic total energy**: -2.4106 eV/atom
**DOS at the Fermi energy**: 3.606 states/eV/f.u.

Compound: CsHg2TePt
Source: Alexandria via LeMat-Bulk
Functional: PBE
Structure: relaxed

Unit cell a=5.4291 b=5.4291 c=5.5610 alpha=90.00 beta=90.00 gamma=90.00
Last column: nearest neighbours and their distance in Å.
Sites, in units of the cell vectors:
1 Cs 0.5000 0.5000 0.5000  4 Te 3.84, 8 Hg 3.89
2 Te 0.0000 0.0000 0.5000  2 Pt 2.78
3 Pt 0.0000 0.0000 0.0000  4 Hg 2.71, 2 Te 2.78
4 Hg 0.5000 0.0000 0.0000  2 Pt 2.71
5 Hg 0.0000 0.5000 0.0000  2 Pt 2.71

Calculated values
**Total moment**: 0.0000 μB per atom
**Electronic total energy**: -2.4738 eV/atom
**E_form (uncorrected)**: -0.35 eV/atom
**DOS at the Fermi energy**: 2.493 states/eV/f.u.

Compound: Cs2Tl5Hg3Pt2
Source: Alexandria via LeMat-Bulk
Functional: PBE
Structure: relaxed

Unit cell a=5.3618 b=5.3618 c=15.8819 alpha=99.72 beta=99.72 gamma=90.00
Last column: nearest neighbours and their distance in Å.
Sites, in units of the cell vectors:
1 Tl 0.9065 0.4065 0.8129  2 Pt 2.69
2 Hg 0.8340 0.8340 0.6681  4 Tl 3.49
3 Tl 0.5000 0.5000 0.0000  2 Pt 2.72
4 Tl 0.5935 0.0935 0.1871  2 Pt 2.69
5 Pt 0.4119 0.4119 0.8238  5 Tl 2.69-2.72
6 Cs 0.2989 0.2989 0.5977  1 Pt 3.49
7 Cs 0.7011 0.7011 0.4023  1 Pt 3.49
8 Hg 0.1660 0.1660 0.3319  4 Tl 3.49
9 Tl 0.4065 0.9065 0.8129  2 Pt 2.69
10 Tl 0.0935 0.5935 0.1871  2 Pt 2.69
11 Hg 0.0000 0.0000 0.0000  12 Tl 3.79-3.94
12 Pt 0.5881 0.5881 0.1762  5 Tl 2.69-2.72

Calculated values
**Total moment**: 0.0000 μB per atom
**Energy relative to the elements**: -10.5 kJ per mole of atoms
**Electronic total energy**: -2.3192 eV/atom
**DOS at the Fermi energy**: 7.685 states/eV/f.u.

Compound: Cs2Tl2HgPt
Source: Alexandria via LeMat-Bulk
Functional: PBE
Structure: relaxed

Unit cell a=7.8657 b=7.5264 c=9.8281 alpha=112.51 beta=113.59 gamma=90.00
Last column: nearest neighbours and their distance in Å.
Sites, in units of the cell vectors:
1 Tl 0.2131 0.9220 0.8439  2 Pt 2.81
2 Tl 0.7869 0.0780 0.1561  2 Pt 2.81
3 Tl 0.6308 0.4220 0.8439  2 Pt 2.81
4 Hg 0.0000 0.2500 0.0000  4 Tl 3.23
5 Pt 0.5000 0.7500 0.0000  4 Tl 2.81
6 Cs 0.5912 0.8386 0.6772  2 Hg 3.78, 2 Pt 3.80, 4 Tl 3.88-4.02
7 Pt 0.5000 0.2500 0.0000  4 Tl 2.81
8 Cs 0.9139 0.6614 0.3228  2 Hg 3.78, 2 Pt 3.80, 4 Tl 3.88-4.02
9 Cs 0.4088 0.1614 0.3228  2 Hg 3.78, 2 Pt 3.80, 4 Tl 3.88-4.02
10 Tl 0.3692 0.5780 0.1561  2 Pt 2.81
11 Cs 0.0861 0.3386 0.6772  2 Hg 3.78, 2 Pt 3.80, 4 Tl 3.88-4.02
12 Hg 0.0000 0.7500 0.0000  4 Tl 3.23

Calculated values
**Total moment**: 0.0000 μB per atom
**Energy relative to the elements**: -16.4 kJ per mole of atoms
**Electronic total energy**: -2.3008 eV/atom
**DOS at the Fermi energy**: 1.355 states/eV/f.u.

Compound: Cs2Tl6HgPt
Source: Alexandria via LeMat-Bulk
Functional: PBE
Structure: relaxed

Unit cell a=8.7041 b=8.7041 c=13.1726 alpha=70.71 beta=70.71 gamma=60.00
Last column: nearest neighbours and their distance in Å.
Sites, in units of the cell vectors:
1 Cs 0.2847 0.2847 0.1460  1 Hg 3.46, 3 Tl 3.82
2 Tl 0.4107 0.4107 0.3484  1 Pt 2.80
3 Tl 0.7788 0.1884 0.8443  1 Pt 2.80, 1 Hg 2.97
4 Cs 0.7153 0.7153 0.8540  1 Hg 3.46, 3 Tl 3.82
5 Tl 0.5893 0.5893 0.6516  1 Pt 2.80
6 Tl 0.1699 0.5893 0.6516  1 Pt 2.80
7 Tl 0.2212 0.8116 0.1557  1 Pt 2.80, 1 Hg 2.97
8 Tl 0.1884 0.7788 0.8443  1 Pt 2.80, 1 Hg 2.97
9 Hg 0.3793 0.3793 0.8621  6 Tl 2.97-3.32
10 Pt 0.5000 0.5000 0.5000  6 Tl 2.80
11 Tl 0.1884 0.1884 0.8443  1 Pt 2.80, 1 Hg 2.97
12 Cs 0.8544 0.8544 0.4369  6 Tl 3.92-3.99
13 Hg 0.6207 0.6207 0.1379  6 Tl 2.97-3.32
14 Tl 0.8116 0.2212 0.1557  1 Pt 2.80, 1 Hg 2.97
15 Tl 0.8301 0.4107 0.3484  1 Pt 2.80
16 Pt 0.0000 0.0000 0.0000  6 Tl 2.80
17 Tl 0.5893 0.1699 0.6516  1 Pt 2.80
18 Cs 0.1456 0.1456 0.5631  6 Tl 3.92-3.99
19 Tl 0.4107 0.8301 0.3484  1 Pt 2.80
20 Tl 0.8116 0.8116 0.1557  1 Pt 2.80, 1 Hg 2.97

Calculated values
**Total moment**: 0.0000 μB per atom
**Energy relative to the elements**: -5.1 kJ per mole of atoms
**Electronic total energy**: -2.2773 eV/atom
**DOS at the Fermi energy**: 6.558 states/eV/f.u.

Compound: CsY2HgPt
Source: Alexandria via LeMat-Bulk
Functional: PBE
Structure: relaxed

Unit cell a=5.6556 b=6.2873 c=5.6556 alpha=90.00 beta=90.00 gamma=90.00
Last column: nearest neighbours and their distance in Å.
Sites, in units of the cell vectors:
1 Pt 0.5000 0.5000 0.5000  4 Cs 4.00, 8 Y 4.23
2 Y 0.5000 0.0000 0.0000  2 Hg 2.83
3 Hg 0.0000 0.0000 0.0000  4 Y 2.83, 2 Cs 3.14
4 Cs 0.0000 0.5000 0.0000  2 Hg 3.14
5 Y 0.0000 0.0000 0.5000  2 Hg 2.83

Calculated values
**Total moment**: 0.0038 μB per atom
**Energy relative to the elements**: 67.2 kJ per mole of atoms
**Electronic total energy**: -3.3286 eV/atom
**DOS at the Fermi energy**: 7.176 states/eV/f.u.

Repeat the ninth record exactly.
Compound: Cs2Tl5Hg3Pt2
Source: Alexandria via LeMat-Bulk
Functional: PBE
Structure: relaxed

Unit cell a=5.3618 b=5.3618 c=15.8819 alpha=99.72 beta=99.72 gamma=90.00
Last column: nearest neighbours and their distance in Å.
Sites, in units of the cell vectors:
1 Tl 0.9065 0.4065 0.8129  2 Pt 2.69
2 Hg 0.8340 0.8340 0.6681  4 Tl 3.49
3 Tl 0.5000 0.5000 0.0000  2 Pt 2.72
4 Tl 0.5935 0.0935 0.1871  2 Pt 2.69
5 Pt 0.4119 0.4119 0.8238  5 Tl 2.69-2.72
6 Cs 0.2989 0.2989 0.5977  1 Pt 3.49
7 Cs 0.7011 0.7011 0.4023  1 Pt 3.49
8 Hg 0.1660 0.1660 0.3319  4 Tl 3.49
9 Tl 0.4065 0.9065 0.8129  2 Pt 2.69
10 Tl 0.0935 0.5935 0.1871  2 Pt 2.69
11 Hg 0.0000 0.0000 0.0000  12 Tl 3.79-3.94
12 Pt 0.5881 0.5881 0.1762  5 Tl 2.69-2.72

Calculated values
**Total moment**: 0.0000 μB per atom
**Energy relative to the elements**: -10.5 kJ per mole of atoms
**Electronic total energy**: -2.3192 eV/atom
**DOS at the Fermi energy**: 7.685 states/eV/f.u.

> DOS at the Fermi energy of number 6 (CsSrHg2Pt)?

2.427 states/eV/f.u.

> Which value of DOS at the Fermi energy does entry 10 give?

1.355 states/eV/f.u.